(1)
! BaZnB2, relaxed, DFT GGA-PBE; values from VASP
! total DFT energy (no corrections) = -2.663 eV/atom
&SYSTEM
  ibrav = 0, nat = 4, ntyp = 3
/
ATOMIC_SPECIES
B 10.81 B.upf
Zn 65.41 Zn.upf
Ba 137.33 Ba.upf
ATOMIC_POSITIONS crystal
B 0.500 0.500 0.500
B 0.750 0.750 0.750
Zn 0.000 0.000 0.000
Ba 0.250 0.250 0.250
CELL_PARAMETERS angstrom
2.518 -1.478 3.716
2.559 3.089 2.500
-1.334 1.179 4.378

(2)
! BaZnB, relaxed, DFT GGA-PBE; values from VASP
! energy relative to the lowest polymorph listed for this composition = 0.0 kJ/mol of formula units
! total DFT energy (no corrections) = -2.599 eV/atom
&SYSTEM
  ibrav = 0, nat = 3, ntyp = 3
/
ATOMIC_SPECIES
Ba 137.33 Ba.upf
Zn 65.41 Zn.upf
B 10.81 B.upf
ATOMIC_POSITIONS crystal
Ba 0.250 0.250 0.250
Zn 0.750 0.750 0.750
B 0.000 0.000 0.000
CELL_PARAMETERS angstrom
0.000 3.305 3.305
3.305 0.000 3.305
3.305 3.305 0.000

(3)
! Ba2ZnB, relaxed, DFT GGA-PBE; values from VASP
! total DFT energy (no corrections) = -2.139 eV/atom
&SYSTEM
  ibrav = 0, nat = 4, ntyp = 3
/
ATOMIC_SPECIES
Zn 65.41 Zn.upf
Ba 137.33 Ba.upf
B 10.81 B.upf
ATOMIC_POSITIONS crystal
Zn 0.500 0.500 0.500
Ba 0.250 0.250 0.250
Ba 0.000 0.000 0.000
B 0.750 0.750 0.750
CELL_PARAMETERS angstrom
0.067 -5.156 -1.520
-4.449 -2.987 0.429
-2.645 -1.533 -4.422